# 1
Entry from Alexandria: an optimized crystal structure of Ba2LaEu (PBE-GGA).

a b c (Å): 4.0630 4.0630 12.0420
angles (deg): 90.00 90.00 90.00
With the nearest neighbours (Å) after each atom.
Positions (direct):
Ba (0.0000, 0.0000, 0.2403)  4 Ba 4.06, 4 La 4.08, 4 Eu 4.25
Ba (0.0000, 0.0000, 0.7597)  4 Ba 4.06, 4 La 4.08, 4 Eu 4.25
La (0.5000, 0.5000, 0.0000)  4 La 4.06, 8 Ba 4.08
Eu (0.5000, 0.5000, 0.5000)  4 Eu 4.06, 8 Ba 4.25

ΔH_f (0 K)   0.5 eV/f.u.
Total DFT energy (no corrections)   -4.6307 eV/atom
Symmetry   No. 123


# 2
Entry from Alexandria: an optimized crystal structure of Ce2NdY3N6 (PBE-GGA).

a b c (Å): 6.1254 6.1254 6.1205
angles (deg): 99.60 99.60 120.01
With the nearest neighbours (Å) after each atom.
Positions (direct):
Ce (0.1668, 0.8332, 0.0000)  6 N 2.48-2.49
Ce (0.8332, 0.1668, 0.0000)  6 N 2.48-2.49
Nd (0.5000, 0.5000, 0.0000)  6 N 2.55-2.56
Y (0.0000, 0.0000, 0.5000)  6 N 2.44-2.52
Y (0.3331, 0.6669, 0.5000)  6 N 2.44-2.52
Y (0.6669, 0.3331, 0.5000)  6 N 2.44-2.52
N (0.0730, 0.4162, 0.7483)  3 Y 2.44-2.52, 2 Ce 2.48, 1 Nd 2.55
N (0.2421, 0.2421, 0.2543)  3 Y 2.44-2.51, 2 Ce 2.49, 1 Nd 2.56
N (0.4162, 0.0730, 0.7483)  3 Y 2.44-2.52, 2 Ce 2.48, 1 Nd 2.55
N (0.5838, 0.9270, 0.2517)  3 Y 2.44-2.52, 2 Ce 2.48, 1 Nd 2.55
N (0.7579, 0.7579, 0.7457)  3 Y 2.44-2.51, 2 Ce 2.49, 1 Nd 2.56
N (0.9270, 0.5838, 0.2517)  3 Y 2.44-2.52, 2 Ce 2.48, 1 Nd 2.55

Total DFT energy (no corrections)   -8.7384 eV/atom
Symmetry   No. 12
Energy relative to the elements, uncorrected   -1.57 eV per atom


# 3
Entry from Alexandria: an optimized crystal structure of Dy2ErTa (PBE-GGA).

a b c (Å): 11.7567 11.7567 11.7567
angles (deg): 15.95 15.95 15.95
With the nearest neighbours (Å) after each atom.
Positions (direct):
Dy (0.0841, 0.0841, 0.0841)  1 Ta 2.93, 6 Dy 3.26
Dy (0.9159, 0.9159, 0.9159)  1 Ta 2.93, 6 Dy 3.26
Er (0.5000, 0.5000, 0.5000)  6 Er 3.26, 6 Dy 3.44
Ta (0.0000, 0.0000, 0.0000)  2 Dy 2.93, 6 Ta 3.26

ΔH_f (0 K)   2.4 eV/f.u.
Total DFT energy (no corrections)   -5.8155 eV/atom
Symmetry   No. 166